Computed, not measured: a relaxed GaSF2 crystal at the PBE level of DFT.

V: 56.70 Å³ per cell
space-group type: Fm-3m
ΔE_f (raw): -0.41 eV/atom
distance to the lowest polymorph of the same formula: 0.558 eV/atom
crystal system: cubic

Cell lengths 4.3121, 4.3121, 4.3121 Å; angles 60.00, 60.00, 60.00 degrees
With the nearest neighbours (Å) after each atom.
Atoms (fractional coordinates):
F  0.2500  0.2500  0.2500  4 S 2.64, 4 Ga 2.64
F  0.7500  0.7500  0.7500  4 S 2.64, 4 Ga 2.64
S  0.0000  0.0000  0.0000  8 F 2.64
Ga  0.5000  0.5000  0.5000  8 F 2.64